Entry from Alexandria: a geometry-optimized Sm6AgRu2Cl3 structure (GGA-PBE).

Structure (CIF):
```
data_Sm6AgRu2Cl3
_chemical_formula_sum 'Sm12 Ag2 Ru4 Cl6'
_cell_length_a 7.053
_cell_length_b 12.281
_cell_length_c 7.920
_cell_angle_alpha 90.00
_cell_angle_beta 106.87
_cell_angle_gamma 90.00
_symmetry_space_group_name_H-M 'C 1 2/m 1'
_symmetry_Int_Tables_number 12
loop_
_symmetry_equiv_pos_as_xyz
'x,y,z'
'-x,-y,-z'
'-x,y,-z'
'x,-y,z'
'x+1/2,y+1/2,z'
'-x+1/2,-y+1/2,-z'
'-x+1/2,y+1/2,-z'
'x+1/2,-y+1/2,z'
loop_
_atom_site_label
_atom_site_type_symbol
_atom_site_fract_x
_atom_site_fract_y
_atom_site_fract_z
_atom_site_occupancy
Sm1 Sm 0.205 0.000 0.208 1
Sm2 Sm 0.248 0.319 0.209 1
Ag1 Ag 0.000 0.500 0.000 1
Ru1 Ru 0.000 0.166 0.000 1
Cl1 Cl 0.000 0.000 0.500 1
Cl2 Cl 0.000 0.324 0.500 1
```

Results
* density: 6.7 g/cm³
* uncorrected energy: -0.404 Ry per atom
* E_form (uncorrected): -898 meV per atom